(1)
First-principles (PBE) data for BaGeHRu2 after structural relaxation, as listed in Alexandria.

extended XYZ file:
```
5
Lattice="5.131 0.000 0.000 0.000 3.643 0.000 0.000 0.000 5.131" Properties=species:S:1:pos:R:3 pbc="T T T"
Ru 0.000 0.000 2.566
Ru 2.566 0.000 0.000
Ge 2.566 1.821 2.566
Ba 0.000 0.000 0.000
H 0.000 1.821 0.000
```

Output
- total magnetization (μB/cell) = 0.89
- raw total energy (eV/atom) = -3.8733
- mass density (g/cm3) = 7.2
- N(E_F) (states/eV per atom) = 1.045



(2)
First-principles (PBE) data for Ba2GeHRu after structural relaxation, as listed in Alexandria.

extended XYZ file:
```
5
Lattice="-0.852 4.585 3.256 1.623 -1.717 2.844 5.039 2.085 -1.617" Properties=species:S:1:pos:R:3 pbc="T T T"
Ru 0.812 -0.859 1.422
Ge 2.905 2.477 2.241
Ba 2.519 1.042 -0.809
Ba -0.426 2.293 1.628
H 0.000 0.000 0.000
```

Output
- total magnetization (μB/cell) = 0.00
- raw total energy (eV/atom) = -4.1589
- mass density (g/cm3) = 6.2
- N(E_F) (states/eV per atom) = 0.770



(3)
First-principles (PBE) data for BaSr2GeH after structural relaxation, as listed in Alexandria.

extended XYZ file:
```
5
Lattice="-4.574 1.648 2.119 1.230 -2.434 4.548 2.362 4.370 1.699" Properties=species:S:1:pos:R:3 pbc="T T T"
Sr 0.615 -1.217 2.274
Sr -2.287 0.824 1.060
Ge -0.491 1.792 4.183
Ba 1.181 2.185 0.850
H 0.000 0.000 0.000
```

Output
- total magnetization (μB/cell) = 0.00
- raw total energy (eV/atom) = -2.9281
- mass density (g/cm3) = 4.3
- N(E_F) (states/eV per atom) = 0.508